Entry 1:
# La2H2PdO6 (PBE, relaxed)
data_La2H2PdO6
_space_group_name_H-M_alt 'R -3 m'
_space_group_IT_number 166
_space_group_name_Hall '-R 3 2"'
_cell_length_a 5.1740
_cell_length_b 5.1740
_cell_length_c 15.1993
_cell_angle_alpha 90.00
_cell_angle_beta 90.00
_cell_angle_gamma 120.00
loop_
_atom_site_label
_atom_site_fract_x
_atom_site_fract_y
_atom_site_fract_z
_atom_site_occupancy
La1 0.0000 0.0000 0.2296 1
H1 0.0000 0.0000 0.4154 1
Pd1 0.0000 0.0000 0.0000 1
O1 0.0094 0.5047 0.2463 1
# - calculated volume (Å³ per cell) = 352
# - total magnetic moment (μB per cell) = 0.00
# - ρ (Mg/m³) = 6.82
# - E_tot (eV/f.u.) = -70.35



Entry 2:
# La2H2PtO6 (PBE, relaxed)
data_La2H2PtO6
_space_group_name_H-M_alt 'R -3 m'
_space_group_IT_number 166
_space_group_name_Hall '-R 3 2"'
_cell_length_a 5.1635
_cell_length_b 5.1635
_cell_length_c 15.4522
_cell_angle_alpha 90.00
_cell_angle_beta 90.00
_cell_angle_gamma 120.00
loop_
_atom_site_label
_atom_site_fract_x
_atom_site_fract_y
_atom_site_fract_z
_atom_site_occupancy
La1 0.0000 0.0000 0.2283 1
H1 0.0000 0.0000 0.4155 1
Pt1 0.0000 0.0000 0.0000 1
O1 0.0072 0.5036 0.2454 1
# - calculated volume (Å³ per cell) = 357
# - total magnetic moment (μB per cell) = 0.00
# - ρ (Mg/m³) = 7.97
# - E_tot (eV/f.u.) = -71.63



Entry 3:
# RbLaH2O (PBE, relaxed)
data_RbLaH2O
_space_group_name_H-M_alt 'P 4/m m m'
_space_group_IT_number 123
_space_group_name_Hall '-P 4 2'
_cell_length_a 4.259
_cell_length_b 4.259
_cell_length_c 5.169
_cell_angle_alpha 90.00
_cell_angle_beta 90.00
_cell_angle_gamma 90.00
loop_
_atom_site_label
_atom_site_fract_x
_atom_site_fract_y
_atom_site_fract_z
_atom_site_occupancy
Rb1 0.000 0.000 0.000 1
La1 0.500 0.500 0.500 1
H1 0.000 0.500 0.000 1
O1 0.000 0.000 0.500 1
# - calculated volume (Å³ per cell) = 94
# - total magnetic moment (μB per cell) = 0.00
# - ρ (Mg/m³) = 4.29
# - E_tot (eV/f.u.) = -18.11



Entry 4:
# La2HRhO6 (PBE, relaxed)
data_La2HRhO6
_space_group_name_H-M_alt 'C 1 2/m 1'
_space_group_IT_number 12
_space_group_name_Hall '-C 2y'
_cell_length_a 9.762
_cell_length_b 5.255
_cell_length_c 5.449
_cell_angle_alpha 90.00
_cell_angle_beta 122.20
_cell_angle_gamma 90.00
loop_
_atom_site_label
_atom_site_fract_x
_atom_site_fract_y
_atom_site_fract_z
_atom_site_occupancy
La1 0.243 0.000 0.230 1
H1 0.000 0.500 0.000 1
Rh1 0.000 0.000 0.500 1
O1 0.045 0.258 0.803 1
O2 0.236 0.000 0.656 1
# - calculated volume (Å³ per cell) = 237
# - total magnetic moment (μB per cell) = 4.00
# - ρ (Mg/m³) = 6.71
# - E_tot (eV/f.u.) = -68.07



Entry 5:
# LaH2RhO (PBE, relaxed)
data_LaH2RhO
_space_group_name_H-M_alt 'P 4/m m m'
_space_group_IT_number 123
_space_group_name_Hall '-P 4 2'
_cell_length_a 3.574
_cell_length_b 3.574
_cell_length_c 4.491
_cell_angle_alpha 90.00
_cell_angle_beta 90.00
_cell_angle_gamma 90.00
loop_
_atom_site_label
_atom_site_fract_x
_atom_site_fract_y
_atom_site_fract_z
_atom_site_occupancy
La1 0.000 0.000 0.000 1
H1 0.000 0.500 0.500 1
Rh1 0.500 0.500 0.500 1
O1 0.500 0.500 0.000 1
# - calculated volume (Å³ per cell) = 57
# - total magnetic moment (μB per cell) = 0.00
# - ρ (Mg/m³) = 7.52
# - E_tot (eV/f.u.) = -30.00



Entry 6:
# LaH3S3O12 (PBE, relaxed)
data_LaH3S3O12
_space_group_name_H-M_alt 'P 63'
_space_group_IT_number 173
_space_group_name_Hall 'P 6c'
_cell_length_a 9.6407
_cell_length_b 9.6407
_cell_length_c 5.9384
_cell_angle_alpha 90.00
_cell_angle_beta 90.00
_cell_angle_gamma 120.00
loop_
_atom_site_label
_atom_site_fract_x
_atom_site_fract_y
_atom_site_fract_z
_atom_site_occupancy
La1 0.3333 0.6667 0.0000 1
H1 0.0849 0.2531 0.1428 1
S1 0.0896 0.6972 0.5108 1
O1 0.0063 0.8022 0.5350 1
O2 0.0353 0.4711 0.0074 1
O3 0.1777 0.7543 0.2963 1
O4 0.1994 0.7370 0.7013 1
# - calculated volume (Å³ per cell) = 478
# - total magnetic moment (μB per cell) = 0.00
# - ρ (Mg/m³) = 2.99
# - E_tot (eV/f.u.) = -117.38



- Look up the ρ of the second one.
  7.97 Mg/m³



- What is the E_tot in the sixth record?
  -117.38 eV/f.u.



- Which of these has the lowest ρ?
  LaH3S3O12